First-principles (PBE-GGA) data for a geometry-optimized BaY2CuNi structure, as listed in Alexandria.

Cell lengths 5.679, 4.724, 5.679 Å; angles 90.00, 90.00, 90.00 degrees
Fractional coordinates of all 5 atoms:
Y (0.500, 0.000, 0.000)
Y (0.000, 0.000, 0.500)
Cu (0.500, 0.500, 0.500)
Ni (0.000, 0.500, 0.000)
Ba (0.000, 0.000, 0.000)

Summary:
E   -3.504 eV/atom
Volume   152 Å³ per cell
N(E_F)   1.04 states/eV/atom
ΔH_f (0 K)   1.4413 eV per atom